A plane-wave DFT calculation with PBE-GGA was carried out for an optimized crystal structure of MnAg3Pb.

ΔE_f in eV/f.u.: 3.519
Calculated density in g/cm³: 7.79
Relative energy among the computed polymorphs in eV/atom: 0.0000

Unit cell a=4.9981 b=4.9981 c=4.9981 alpha=90.00 beta=90.00 gamma=90.00
Space group Pm-3m (No. 221)
Symmetry-distinct sites (fractional):
Mn  0.0000  0.0000  0.0000
Ag  0.0000  0.0000  0.5000
Pb  0.5000  0.5000  0.5000